# 1
PrGdIn2Pt4 | GGA-PBE | optimized geometry

Structure (POSCAR):
```
PrGdIn2Pt4
1.0
4.624 0.000 0.000
-2.312 4.004 0.000
0.000 0.000 9.245
Pr Pt Gd In
1 4 1 2
Direct
0.000 0.000 0.500
0.333 0.667 0.667
0.333 0.667 0.333
0.000 0.000 0.155
0.000 0.000 0.845
0.333 0.667 0.000
0.667 0.333 0.247
0.667 0.333 0.753
```


# 2
Gd3In12Pt4 | GGA-PBE | optimized geometry

Structure (POSCAR):
```
Gd3In12Pt4
1.0
9.992 0.000 0.000
-4.996 8.653 0.000
0.000 0.000 15.418
In Pt Gd
36 12 9
Direct
0.119 0.881 0.177
0.788 0.212 0.314
0.000 0.287 0.500
0.788 0.576 0.314
0.222 0.444 0.332
0.222 0.778 0.332
0.287 0.287 0.500
0.713 0.713 0.500
0.333 0.667 0.085
0.778 0.556 0.668
0.212 0.424 0.686
0.424 0.212 0.314
0.778 0.222 0.668
0.444 0.222 0.668
0.350 0.350 0.000
0.713 0.000 0.500
0.000 0.000 0.374
0.333 0.667 0.882
0.000 0.650 0.000
0.350 0.000 0.000
0.000 0.000 0.626
0.000 0.350 0.000
0.762 0.881 0.177
0.212 0.788 0.686
0.287 0.000 0.500
0.556 0.778 0.332
0.238 0.119 0.823
0.000 0.713 0.500
0.650 0.650 0.000
0.881 0.762 0.823
0.576 0.788 0.686
0.667 0.333 0.915
0.650 0.000 0.000
0.667 0.333 0.118
0.119 0.238 0.177
0.881 0.119 0.823
0.506 0.011 0.389
0.011 0.506 0.611
0.494 0.989 0.611
0.989 0.494 0.389
0.655 0.827 0.861
0.494 0.506 0.611
0.173 0.827 0.861
0.827 0.655 0.139
0.506 0.494 0.389
0.345 0.173 0.139
0.827 0.173 0.139
0.173 0.345 0.861
0.493 0.986 0.195
0.493 0.507 0.195
0.667 0.333 0.487
0.000 0.000 0.000
0.507 0.493 0.805
0.333 0.667 0.513
0.986 0.493 0.805
0.507 0.014 0.805
0.014 0.507 0.195
```


# 3
GdInPt2 | GGA-PBE | optimized geometry

Structure (POSCAR):
```
GdInPt2
1.0
4.600 0.000 0.000
-2.300 3.984 0.000
0.000 0.000 9.071
Pt In Gd
4 2 2
Direct
0.333 0.667 0.409
0.000 0.000 0.908
0.000 0.000 0.591
0.333 0.667 0.091
0.667 0.333 0.500
0.667 0.333 0.000
0.333 0.667 0.750
0.000 0.000 0.250
```


# 4
Gd3In2SnPt3 | GGA-PBE | optimized geometry

Structure (POSCAR):
```
Gd3In2SnPt3
1.0
-3.886 0.466 0.261
0.848 3.192 6.930
0.106 4.397 -6.292
Gd Pt In Sn
3 3 2 1
Direct
0.500 0.999 0.408
0.500 0.593 0.593
0.500 0.408 0.999
0.500 0.004 0.004
0.000 0.333 0.665
0.000 0.665 0.333
0.000 0.740 0.999
0.000 0.999 0.740
0.000 0.258 0.258
```


# 5
GdTmIn2Pt4 | GGA-PBE | optimized geometry

Structure (POSCAR):
```
GdTmIn2Pt4
1.0
4.581 0.000 0.000
-2.291 3.967 0.000
0.000 0.000 9.000
Gd In Pt Tm
1 2 4 1
Direct
0.000 0.000 0.000
0.333 0.667 0.252
0.333 0.667 0.748
0.667 0.333 0.839
0.000 0.000 0.345
0.000 0.000 0.655
0.667 0.333 0.161
0.667 0.333 0.500
```


# 6
GdYIn4Pt2 | GGA-PBE | optimized geometry

Structure (POSCAR):
```
GdYIn4Pt2
1.0
7.689 0.000 0.000
0.000 2.216 5.253
0.000 -2.216 5.253
Pt Gd Y In
2 1 1 4
Direct
0.500 0.715 0.715
0.000 0.285 0.285
0.000 0.574 0.574
0.500 0.426 0.426
0.200 0.863 0.863
0.700 0.137 0.137
0.800 0.863 0.863
0.300 0.137 0.137
```


# 7
RbGdInTe3 | GGA-PBE | optimized geometry

Structure (POSCAR):
```
RbGdInTe3
1.0
2.305 -8.254 0.000
2.305 8.254 0.000
0.000 0.000 12.272
Te Rb Gd In
6 2 2 2
Direct
0.128 0.872 0.970
0.872 0.128 0.470
0.559 0.441 0.250
0.128 0.872 0.530
0.441 0.559 0.750
0.872 0.128 0.030
0.248 0.752 0.250
0.752 0.248 0.750
0.500 0.500 0.000
0.500 0.500 0.500
0.946 0.054 0.250
0.054 0.946 0.750
```


# 8
Gd4In5S13 | GGA-PBE | optimized geometry

Structure (POSCAR):
```
Gd4In5S13
1.0
11.912 0.000 0.000
0.000 21.529 0.000
0.000 0.000 3.887
S Gd In
26 8 10
Direct
0.203 0.526 0.000
0.844 0.115 0.500
0.703 0.974 0.000
0.150 0.135 0.500
0.344 0.385 0.500
0.850 0.865 0.500
0.583 0.762 0.500
0.500 0.500 0.000
0.417 0.238 0.500
0.350 0.635 0.500
0.003 0.593 0.500
0.156 0.885 0.500
0.297 0.026 0.000
0.083 0.738 0.500
0.333 0.760 0.000
0.167 0.260 0.000
0.656 0.615 0.500
0.650 0.365 0.500
0.917 0.262 0.500
0.503 0.907 0.500
0.997 0.407 0.500
0.797 0.474 0.000
0.667 0.240 0.000
0.000 0.000 0.000
0.833 0.740 0.000
0.497 0.093 0.500
0.326 0.159 0.000
0.174 0.659 0.000
0.674 0.841 0.000
0.017 0.827 0.000
0.826 0.341 0.000
0.983 0.173 0.000
0.517 0.673 0.000
0.483 0.327 0.000
0.000 0.500 0.000
0.154 0.007 0.500
0.843 0.669 0.500
0.157 0.331 0.500
0.343 0.831 0.500
0.346 0.507 0.500
0.846 0.993 0.500
0.500 0.000 0.000
0.657 0.169 0.500
0.654 0.493 0.500
```


# 9
GdScIn | GGA-PBE | optimized geometry

Results
As for the energy above the most stable polymorph in this dataset: 306 meV/atom.

Structure (POSCAR):
```
GdScIn
1.0
0.000 3.570 3.570
3.570 0.000 3.570
3.570 3.570 0.000
Gd Sc In
1 1 1
Direct
0.500 0.500 0.500
0.000 0.000 0.000
0.250 0.250 0.250
```


# 10
GdScIn | GGA-PBE | optimized geometry

Results
As for the energy above the most stable polymorph in this dataset: 0 meV/atom.

Structure (POSCAR):
```
GdScIn
1.0
5.203 0.000 0.000
-2.602 4.506 0.000
0.000 0.000 6.638
In Sc Gd
2 2 2
Direct
0.333 0.667 0.250
0.667 0.333 0.750
0.667 0.333 0.250
0.333 0.667 0.750
0.000 0.000 0.000
0.000 0.000 0.500
```


# 11
GdScIn | GGA-PBE | optimized geometry

Results
As for the energy above the most stable polymorph in this dataset: 31 meV/atom.

Structure (POSCAR):
```
GdScIn
1.0
-0.376 -0.770 5.208
3.294 -2.958 -2.874
4.749 4.332 0.984
Gd In Sc
2 2 2
Direct
0.333 0.667 0.750
0.667 0.333 0.250
0.667 0.333 0.750
0.333 0.667 0.250
0.000 0.000 0.500
0.000 0.000 0.000
```


# 12
SmGd2ScIn2 | GGA-PBE | optimized geometry

Structure (POSCAR):
```
SmGd2ScIn2
1.0
-4.357 -0.367 3.064
4.360 -2.835 1.208
2.249 5.081 3.807
Gd Sc In Sm
2 1 2 1
Direct
0.333 0.667 0.763
0.333 0.667 0.237
0.000 0.000 0.000
0.000 0.000 0.500
0.667 0.333 0.000
0.667 0.333 0.500
```


# 13
GdTm2ScIn2 | GGA-PBE | optimized geometry

Structure (POSCAR):
```
GdTm2ScIn2
1.0
-1.337 1.396 -4.933
-3.537 -2.412 3.122
-2.042 5.853 2.210
In Tm Gd Sc
2 2 1 1
Direct
0.333 0.667 0.245
0.667 0.333 0.755
0.667 0.333 0.270
0.333 0.667 0.730
0.000 0.000 0.000
0.000 0.000 0.500
```


# 14
GdTmSc2In2 | GGA-PBE | optimized geometry

Structure (POSCAR):
```
GdTmSc2In2
1.0
5.178 0.000 0.000
-2.589 4.484 0.000
0.000 0.000 6.564
In Gd Sc Tm
2 1 2 1
Direct
0.333 0.667 0.247
0.667 0.333 0.753
0.000 0.000 0.500
0.667 0.333 0.246
0.333 0.667 0.754
0.000 0.000 0.000
```


# 15
GdScZn2In2 | GGA-PBE | optimized geometry

Structure (POSCAR):
```
GdScZn2In2
1.0
-3.858 -2.339 0.917
3.504 -2.086 -2.136
2.682 -1.952 6.305
Zn In Sc Gd
2 2 1 1
Direct
0.667 0.333 0.209
0.333 0.667 0.725
0.333 0.667 0.284
0.667 0.333 0.808
0.000 0.000 0.022
0.000 0.000 0.521
```


# 16
Gd3InSe6 | GGA-PBE | optimized geometry

Structure (POSCAR):
```
Gd3InSe6
1.0
-14.138 0.561 -0.442
-0.743 -17.358 1.724
-0.110 0.405 4.026
Se Gd In
24 12 4
Direct
0.387 0.248 0.500
0.112 0.118 0.000
0.596 0.589 0.000
0.477 0.895 0.000
0.404 0.411 0.000
0.977 0.605 0.500
0.612 0.382 0.500
0.818 0.715 0.000
0.318 0.785 0.500
0.693 0.980 0.500
0.193 0.520 0.000
0.023 0.395 0.500
0.613 0.752 0.500
0.904 0.089 0.500
0.388 0.618 0.500
0.807 0.480 0.000
0.887 0.252 0.000
0.682 0.215 0.500
0.182 0.285 0.000
0.096 0.911 0.500
0.113 0.748 0.000
0.888 0.882 0.000
0.307 0.020 0.500
0.523 0.105 0.000
0.313 0.145 0.000
0.187 0.645 0.500
0.960 0.775 0.500
0.687 0.855 0.000
0.040 0.225 0.500
0.540 0.275 0.000
0.460 0.725 0.000
0.813 0.355 0.500
0.250 0.894 0.000
0.750 0.106 0.000
0.750 0.606 0.500
0.250 0.394 0.500
0.500 0.500 0.500
0.000 0.000 0.000
0.500 0.000 0.500
0.000 0.500 0.000
```


# 17
GdInTeSe | GGA-PBE | optimized geometry

Structure (POSCAR):
```
GdInTeSe
1.0
-2.751 2.373 7.479
1.095 4.251 7.061
-2.371 6.016 5.226
Te Se Gd In
1 1 1 1
Direct
0.741 0.741 0.741
0.264 0.264 0.264
0.994 0.994 0.994
0.501 0.501 0.501
```


# 18
GdIn2Si2 | GGA-PBE | optimized geometry

Structure (POSCAR):
```
GdIn2Si2
1.0
-4.070 -5.850 -2.402
2.733 -4.203 5.605
-2.987 1.131 2.305
Si Gd In
4 2 4
Direct
0.615 0.115 0.000
0.115 0.385 0.000
0.885 0.615 0.000
0.385 0.885 0.000
0.500 0.500 0.000
0.000 0.000 0.000
0.826 0.326 0.500
0.174 0.674 0.500
0.326 0.174 0.500
0.674 0.826 0.500
```


# 19
GdInSi | GGA-PBE | optimized geometry

Structure (POSCAR):
```
GdInSi
1.0
0.000 3.466 3.466
3.466 0.000 3.466
3.466 3.466 0.000
Gd Si In
1 1 1
Direct
0.000 0.000 0.000
0.750 0.750 0.750
0.250 0.250 0.250
```


# 20
GdInSi | GGA-PBE | optimized geometry

Structure (POSCAR):
```
GdInSi
1.0
0.248 2.220 4.168
-0.834 4.648 0.257
-3.944 1.583 2.074
In Si Gd
1 1 1
Direct
0.750 0.750 0.750
0.000 0.000 0.000
0.250 0.250 0.250
```


no.,calculated total energy (eV/atom)
1,-5.818
2,-4.309
3,-5.835
4,-5.656
5,-5.820
6,-5.021
7,-3.874
8,-5.113
9,-4.638
10,-4.944
11,-4.913
12,-4.653
13,-4.579
14,-4.913
15,-3.596
16,-5.300
17,-4.643
18,-4.292
19,-4.231
20,-4.458